Record 1
A geometry-optimized CaRe2Cl structure. Source: the Alexandria database, functional PBE.

Geometry as POSCAR:
```
CaRe2Cl
1.0
-0.5954 -5.4801 0.4220
3.4061 -2.1768 -3.7716
-0.1094 3.0083 4.6371
Re Cl Ca
2 1 1
Cartesian
0.0161 -0.0438 -0.0191
2.1645 -0.9904 -0.1824
0.4357 -3.3829 1.5903
1.4903 -4.0601 -1.7761
```

Results
**DOS(E_F)**: 0.931 states/eV/atom
**Total DFT energy (no corrections)**: -26.7 eV for the cell shown
**Distance to the lowest polymorph of the same formula**: 639 meV per atom
**V**: 87.77 Å³ per cell

***

Record 2
A geometry-optimized HoPaOs2 structure. Source: the Alexandria database, functional PBE.

Geometry as POSCAR:
```
HoPaOs2
1.0
3.4785 0.0000 0.0000
0.0000 3.4785 0.0000
0.0000 0.0000 6.7388
Pa Ho Os
1 1 2
Cartesian
1.7392 1.7392 0.0000
1.7392 1.7392 3.3694
0.0000 0.0000 1.5403
0.0000 0.0000 5.1985
```

Results
**DOS(E_F)**: 0.704 states/eV/atom
**Total DFT energy (no corrections)**: -37.7 eV for the cell shown
**Distance to the lowest polymorph of the same formula**: 0 meV per atom
**V**: 81.54 Å³ per cell
**DFT formation energy**: -1.163 eV/f.u.

***

Record 3
A geometry-optimized Ac4RuRhSe2 structure. Source: the Alexandria database, functional PBE.

Geometry as POSCAR:
```
Ac4RuRhSe2
1.0
4.3588 0.0000 0.0000
0.0000 7.5404 0.1269
0.0000 -2.6414 7.5094
Ac Se Rh Ru
4 2 1 1
Cartesian
0.0000 -0.0681 5.8639
0.0000 4.9671 1.7723
2.1794 3.6269 5.9363
2.1794 1.2721 1.6999
2.1794 -1.3207 3.7547
0.0000 2.4495 3.8181
0.0000 0.0000 0.0000
2.1794 3.7702 0.0634
```

Results
**DOS(E_F)**: 0.375 states/eV/atom
**Total DFT energy (no corrections)**: -48.6 eV for the cell shown
**V**: 248.27 Å³ per cell

***

Record 4
A geometry-optimized BiBSeBr2 structure. Source: the Alexandria database, functional PBE.

Geometry as POSCAR:
```
BiBSeBr2
1.0
-1.7915 -3.1263 -2.9599
1.9755 -3.4454 2.4435
-4.0714 -0.3354 2.8186
Se Br Bi B
1 2 1 1
Cartesian
-2.0357 -0.1677 1.4093
-0.8958 -1.5632 -1.4799
0.9877 -1.7227 1.2218
-1.9437 -3.4536 1.1511
0.0000 0.0000 0.0000
```

Results
**DOS(E_F)**: 0.424 states/eV/atom
**Total DFT energy (no corrections)**: -15.1 eV for the cell shown
**Distance to the lowest polymorph of the same formula**: 0 meV per atom
**V**: 107.92 Å³ per cell

***

Record 5
A geometry-optimized KW3C structure. Source: the Alexandria database, functional PBE.

Geometry as POSCAR:
```
KW3C
1.0
-1.5360 -1.3426 -3.8177
-3.1349 -2.1875 2.0306
-2.5592 3.4855 -0.1961
K W C
1 3 1
Cartesian
-3.6151 -0.0223 -0.9916
-1.5675 -1.0938 1.0153
-1.2796 1.7427 -0.0981
-0.7680 -0.6713 -1.9088
0.0000 0.0000 0.0000
```

Results
**DOS(E_F)**: 0.997 states/eV/atom
**Total DFT energy (no corrections)**: -42.2 eV for the cell shown
**Distance to the lowest polymorph of the same formula**: 0 meV per atom
**V**: 81.10 Å³ per cell
**DFT formation energy**: 6.985 eV/f.u.

***

Record 6
A geometry-optimized TaTeW2 structure. Source: the Alexandria database, functional PBE.

Geometry as POSCAR:
```
TaTeW2
1.0
-1.3298 1.7780 4.1098
1.6223 -1.8396 3.9754
3.0501 2.3922 2.6066
W Ta Te
2 1 1
Cartesian
0.0000 0.0000 0.0000
2.5070 1.7479 8.0188
1.6713 1.1653 5.3459
0.8357 0.5826 2.6729
```

Results
**DOS(E_F)**: 1.193 states/eV/atom
**Total DFT energy (no corrections)**: -38.2 eV for the cell shown
**V**: 72.07 Å³ per cell

***

Record 7
A geometry-optimized TbDy2Tl structure. Source: the Alexandria database, functional PBE.

Geometry as POSCAR:
```
TbDy2Tl
1.0
-4.2500 1.1002 -2.0580
-2.1619 -3.4901 2.5989
-0.8917 3.1957 3.5498
Dy Tb Tl
2 1 1
Cartesian
-1.0810 -1.7450 1.2994
-0.4459 1.5979 1.7749
-3.6518 0.4029 2.0453
-2.1250 0.5501 -1.0290
```

Results
**DOS(E_F)**: 1.277 states/eV/atom
**Total DFT energy (no corrections)**: -16.9 eV for the cell shown
**Distance to the lowest polymorph of the same formula**: 5 meV per atom
**V**: 114.47 Å³ per cell
**DFT formation energy**: -0.727 eV/f.u.

***

Record 8
A geometry-optimized Th2PaCo4As3 structure. Source: the Alexandria database, functional PBE.

Geometry as POSCAR:
```
Th2PaCo4As3
1.0
4.1816 0.0000 0.0000
0.0000 4.1816 0.0000
0.0000 0.0000 10.1210
Co As Pa Th
4 3 1 2
Cartesian
0.0000 0.0000 0.0000
2.0908 0.0000 6.5105
0.0000 2.0908 3.6105
2.0908 2.0908 0.0000
2.0908 0.0000 8.8634
0.0000 2.0908 1.2576
0.0000 0.0000 5.0605
2.0908 2.0908 5.0605
0.0000 2.0908 7.8640
2.0908 0.0000 2.2570
```

Results
**DOS(E_F)**: 0.560 states/eV/atom
**Total DFT energy (no corrections)**: -73.8 eV for the cell shown
**V**: 176.98 Å³ per cell
**DFT formation energy**: -7.128 eV/f.u.